1.
The following is a DFT calculation (PBE-GGA) of an optimized crystal structure of Ti4Cr2Si5.

Unit cell a=4.8942 b=7.6963 c=9.2642 alpha=114.54 beta=105.32 gamma=90.00
Atoms (fractional coordinates):
Cr 0.0595 0.3095 0.6190
Cr 0.5595 0.3095 0.6190
Cr 0.4405 0.6905 0.3810
Cr 0.9405 0.6905 0.3810
Si 0.7500 0.0000 0.0000
Si 0.4320 0.3451 0.8639
Si 0.9320 0.5189 0.8639
Si 0.2500 0.0000 0.0000
Si 0.0680 0.4811 0.1361
Si 0.7167 0.4206 0.4334
Si 0.5680 0.6549 0.1361
Si 0.2167 0.0128 0.4334
Si 0.2833 0.5794 0.5666
Si 0.7833 0.9872 0.5666
Ti 0.5646 0.3207 0.1292
Ti 0.8581 0.7488 0.7162
Ti 0.1419 0.2512 0.2838
Ti 0.9354 0.1916 0.8708
Ti 0.3581 0.9674 0.7162
Ti 0.0646 0.8084 0.1292
Ti 0.6419 0.0326 0.2838
Ti 0.4354 0.6793 0.8708

Calculated values
magnetization: 0.0 Bohr magnetons per cell
uncorrected formation energy: -0.662 eV per atom
Fermi-level density of states: 6.21 states/eV/f.u.

=====

2.
The following is a DFT calculation (PBE-GGA) of an optimized crystal structure of Pm4Ni3Hg.

Unit cell a=3.8724 b=4.4946 c=10.7468 alpha=90.00 beta=90.00 gamma=90.00
Atoms (fractional coordinates):
Pm 0.5000 0.0000 0.6351
Pm 0.0000 0.0000 0.1524
Pm 0.5000 0.5000 0.3782
Pm 0.0000 0.5000 0.8418
Ni 0.0000 0.5000 0.5713
Ni 0.5000 0.0000 0.9143
Ni 0.0000 0.0000 0.4346
Hg 0.5000 0.5000 0.0724

Calculated values
magnetization: 0.0 Bohr magnetons per cell
calculated formation energy: -333 meV/atom
Fermi-level density of states: 6.14 states/eV/f.u.

=====

3.
The following is a DFT calculation (PBE-GGA) of an optimized crystal structure of KNaPtPb.

Unit cell a=4.7895 b=4.7895 c=6.8487 alpha=89.93 beta=110.49 gamma=120.08
Atoms (fractional coordinates):
Pb 0.8272 0.2786 0.1057
Pt 0.4726 0.6002 0.0728
K 0.3983 0.0637 0.4620
Na 0.9941 0.8619 0.8560

Calculated values
magnetization: 0.0 Bohr magnetons per cell
calculated formation energy: -170 meV/atom
Fermi-level density of states: 2.27 states/eV/f.u.

=====

4.
The following is a DFT calculation (PBE-GGA) of an optimized crystal structure of Ac2PCl.

Unit cell a=4.4150 b=4.4150 c=7.5863 alpha=73.08 beta=73.08 gamma=60.00
Atoms (fractional coordinates):
Cl 0.5000 0.5000 0.5000
Ac 0.7412 0.7412 0.7763
Ac 0.2588 0.2588 0.2237
P 0.0000 0.0000 0.0000

Calculated values
magnetization: 0.0 Bohr magnetons per cell
uncorrected formation energy: -1.571 eV per atom
Fermi-level density of states: 1.68 states/eV/f.u.